DFT (PBE) results for a relaxed structure of PmNd3Hg4.

Calculated values
Formation energy (meV per atom): -330
Total magnetic moment (μB/f.u.): 0.0
DOS at the Fermi energy (states/eV/cell): 7.41

abc: 3.8439 7.7360 9.3051
angles: 114.53 101.92 90.00
Fractional coordinates of all 8 atoms:
1 Hg 0.3697 0.1674 0.7393
2 Hg 0.6303 0.8326 0.2607
3 Hg 0.3694 0.5721 0.7387
4 Nd 0.7984 0.7989 0.5969
5 Hg 0.6306 0.4279 0.2613
6 Nd 0.0000 0.5000 0.0000
7 Nd 0.2016 0.2011 0.4031
8 Pm 0.5000 0.0000 0.0000

=====

DFT (PBE) results for a relaxed structure of BaCdRu3.

Calculated values
Formation energy (meV per atom): 2440
Total magnetic moment (μB/f.u.): 3.2
DOS at the Fermi energy (states/eV/cell): 7.04

abc: 5.0266 5.0266 5.0266
angles: 90.00 90.00 90.00
Each line ends with the local moment (μB).
Fractional coordinates of all 5 atoms:
1 Ru 0.0000 0.5000 0.0000  1.24
2 Ru 0.5000 0.0000 0.0000  1.01
3 Ba 0.0000 0.0000 0.0000  -0.04
4 Ru 0.0000 0.0000 0.5000  1.03
5 Cd 0.5000 0.5000 0.5000  -0.04

=====

DFT (PBE) results for a relaxed structure of LaAl2Fe2.

Calculated values
Formation energy (meV per atom): -79
Total magnetic moment (μB/f.u.): 0.0
DOS at the Fermi energy (states/eV/cell): 6.87

abc: 7.3220 7.3220 2.9165
angles: 90.00 90.00 90.00
Fractional coordinates of all 10 atoms:
1 Al 0.3701 0.1299 0.5000
2 Fe 0.6590 0.1590 0.0000
3 Fe 0.1590 0.3410 0.0000
4 Al 0.1299 0.6299 0.5000
5 La 0.5000 0.5000 0.0000
6 Fe 0.8410 0.6590 0.0000
7 Al 0.8701 0.3701 0.5000
8 La 0.0000 0.0000 0.0000
9 Fe 0.3410 0.8410 0.0000
10 Al 0.6299 0.8701 0.5000

=====

DFT (PBE) results for a relaxed structure of CeMg2Hg.

Calculated values
Formation energy (meV per atom): -110
Total magnetic moment (μB/f.u.): 1.0
DOS at the Fermi energy (states/eV/cell): 6.46

abc: 3.3823 3.3823 8.5085
angles: 90.00 90.00 90.00
Each line ends with the local moment (μB).
Fractional coordinates of all 4 atoms:
1 Ce 0.5000 0.5000 0.5000  0.84
2 Hg 0.5000 0.5000 0.0000  -0.01
3 Mg 0.0000 0.0000 0.7911  0.00
4 Mg 0.0000 0.0000 0.2089  0.00

=====

DFT (PBE) results for a relaxed structure of Zn2MoIr2.

Calculated values
Formation energy (meV per atom): 169
Total magnetic moment (μB/f.u.): 0.0
DOS at the Fermi energy (states/eV/cell): 9.04

abc: 7.1545 7.1545 2.9370
angles: 90.00 90.00 90.00
Fractional coordinates of all 10 atoms:
1 Mo 0.0000 0.0000 0.0000
2 Zn 0.6639 0.8361 0.5000
3 Ir 0.1350 0.3650 0.0000
4 Zn 0.8361 0.3361 0.5000
5 Ir 0.8650 0.6350 0.0000
6 Zn 0.3361 0.1639 0.5000
7 Zn 0.1639 0.6639 0.5000
8 Ir 0.3650 0.8650 0.0000
9 Ir 0.6350 0.1350 0.0000
10 Mo 0.5000 0.5000 0.0000

=====

DFT (PBE) results for a relaxed structure of BaTeW2.

Calculated values
Raw formation energy (eV/atom): 1.590
Total magnetic moment (μB/f.u.): 0.0
DOS at the Fermi energy (states/eV/cell): 5.03

abc: 6.1114 6.1114 2.9419
angles: 90.00 90.00 120.46
Fractional coordinates of all 4 atoms:
1 Ba 0.5000 0.0000 0.5000
2 W 0.0000 0.0000 0.0000
3 Te 0.0000 0.5000 0.5000
4 W 0.5000 0.5000 0.0000

=====

DFT (PBE) results for a relaxed structure of AlZn2Fe.

Calculated values
Formation energy (meV per atom): 8
Total magnetic moment (μB/f.u.): 2.2
DOS at the Fermi energy (states/eV/cell): 1.83

abc: 4.7031 4.7031 2.7120
angles: 90.00 90.00 113.20
Each line ends with the local moment (μB).
Fractional coordinates of all 4 atoms:
1 Al 0.5000 0.0000 0.5000  0.00
2 Zn 0.5000 0.5000 0.0000  -0.03
3 Zn 0.0000 0.0000 0.0000  -0.03
4 Fe 0.0000 0.5000 0.5000  2.28

=====

DFT (PBE) results for a relaxed structure of Dy2GaCo4Ge3.

Calculated values
Formation energy (meV per atom): -551
Total magnetic moment (μB/f.u.): 0.0
DOS at the Fermi energy (states/eV/cell): 9.45

abc: 4.0153 4.0153 9.8070
angles: 90.00 90.00 90.00
Fractional coordinates of all 10 atoms:
1 Co 0.5000 0.5000 0.0000
2 Co 0.0000 0.5000 0.3666
3 Ge 0.5000 0.0000 0.8707
4 Co 0.5000 0.0000 0.6334
5 Co 0.0000 0.0000 0.0000
6 Ge 0.0000 0.0000 0.5000
7 Ge 0.0000 0.5000 0.1293
8 Ga 0.5000 0.5000 0.5000
9 Dy 0.5000 0.0000 0.2503
10 Dy 0.0000 0.5000 0.7497

=====

DFT (PBE) results for a relaxed structure of ErSi2Rh.

Calculated values
Raw formation energy (eV/atom): -0.877
Total magnetic moment (μB/f.u.): 0.0
DOS at the Fermi energy (states/eV/cell): 1.02

abc: 4.0666 4.0666 5.3823
angles: 67.80 67.80 60.00
Fractional coordinates of all 4 atoms:
1 Er 0.0000 0.0000 0.0000
2 Si 0.7867 0.7867 0.6399
3 Si 0.2133 0.2133 0.3601
4 Rh 0.5000 0.5000 0.5000

=====

DFT (PBE) results for a relaxed structure of Be3FeOs.

Calculated values
Formation energy (meV per atom): 878
Total magnetic moment (μB/f.u.): 0.0
DOS at the Fermi energy (states/eV/cell): 3.22

abc: 3.7638 3.7638 3.7638
angles: 90.00 90.00 90.00
Fractional coordinates of all 5 atoms:
1 Os 0.5000 0.5000 0.5000
2 Fe 0.0000 0.0000 0.0000
3 Be 0.0000 0.5000 0.0000
4 Be 0.5000 0.0000 0.0000
5 Be 0.0000 0.0000 0.5000

=====

- Look up the total magnetic moment of the sixth one.
  0.0 μB/f.u.